Tb3As4Pd7 (PBE, relaxed); volume = 254.7 Å³ per cell; E_form = -0.92 eV per atom; symmetry = No. 12
1.0
7.8819 -2.0700 0.0000
7.8819 2.0700 0.0000
-5.6367 0.0000 7.8044
Tb As Pd
3 4 7
Direct
0.0000 0.0000 0.0000 Tb
0.3212 0.3212 0.3264 Tb
0.6788 0.6788 0.6736 Tb
0.1061 0.1061 0.8229 As
0.3409 0.3409 0.7477 As
0.6590 0.6590 0.2523 As
0.8939 0.8939 0.1771 As
0.0000 0.0000 0.5000 Pd
0.1659 0.1659 0.4265 Pd
0.3063 0.3063 0.9744 Pd
0.4877 0.4877 0.7063 Pd
0.5123 0.5123 0.2937 Pd
0.6937 0.6937 0.0256 Pd
0.8341 0.8341 0.5735 Pd